The following is a DFT calculation (PBE) of a relaxed NaReNi crystal.

abc: 2.6212 4.2119 10.5557
angles: 89.98 97.17 90.00
With the nearest neighbours (Å) after each atom.
Fractional coordinates of all 6 atoms:
Na (0.6742, 0.2687, 0.7604)  2 Na 2.62
Na (0.0424, 0.7691, 0.4728)  2 Na 2.62
Ni (0.7810, 0.7663, 0.9740)  6 Re 2.58-2.63, 2 Ni 2.62
Ni (0.9238, 0.2659, 0.2592)  6 Re 2.58-2.63, 2 Ni 2.62
Re (0.3148, 0.2663, 0.0412)  6 Ni 2.58-2.63, 4 Re 2.62-2.63
Re (0.3905, 0.7661, 0.1919)  6 Ni 2.58-2.63, 4 Re 2.62-2.63

Values from the calculation:
* magnetic moment: 0.000 μB per atom
* ΔE to the lowest computed polymorph: 115 meV/atom
* uncorrected energy: -6.16 eV/atom
* ΔH_f (0 K): 0.36 eV/atom
* density of states at the Fermi level: 0.90 states/eV/atom

---

The following is a DFT calculation (PBE) of a relaxed PmErCd crystal.

abc: 5.1898 5.1601 12.8616
angles: 90.00 90.00 90.00
With the nearest neighbours (Å) after each atom.
Fractional coordinates of all 12 atoms:
Pm (0.2500, 0.5000, 0.0898)  4 Cd 3.31, 2 Pm 3.47, 6 Er 3.53-3.66
Pm (0.7500, 0.0000, 0.4102)  4 Cd 3.31, 2 Pm 3.47, 6 Er 3.53-3.66
Pm (0.2500, 0.0000, 0.5898)  4 Cd 3.31, 2 Pm 3.47, 6 Er 3.53-3.66
Pm (0.7500, 0.5000, 0.9102)  4 Cd 3.31, 2 Pm 3.47, 6 Er 3.53-3.66
Cd (0.7500, 0.5000, 0.2491)  4 Er 3.23-3.26, 4 Pm 3.31
Cd (0.2500, 0.0000, 0.2511)  4 Er 3.23-3.26, 4 Pm 3.31
Cd (0.7500, 0.0000, 0.7489)  4 Er 3.23-3.26, 4 Pm 3.31
Cd (0.2500, 0.5000, 0.7509)  4 Er 3.23-3.26, 4 Pm 3.31
Er (0.7500, 0.0000, 0.0974)  4 Cd 3.23-3.26, 2 Pm 3.53, 2 Er 3.61
Er (0.2500, 0.5000, 0.4026)  4 Cd 3.23-3.26, 2 Pm 3.53, 2 Er 3.61
Er (0.7500, 0.5000, 0.5974)  4 Cd 3.23-3.26, 2 Pm 3.53, 2 Er 3.61
Er (0.2500, 0.0000, 0.9026)  4 Cd 3.23-3.26, 2 Pm 3.53, 2 Er 3.61

Values from the calculation:
* magnetic moment: 0.032 μB per atom
* ΔE to the lowest computed polymorph: 0 meV/atom
* uncorrected energy: -3.60 eV/atom
* ΔH_f (0 K): -0.19 eV/atom
* density of states at the Fermi level: 1.29 states/eV/atom

---

The following is a DFT calculation (PBE) of a relaxed CeNb3O6 crystal.

abc: 3.0920 9.7436 9.1045
angles: 110.89 90.00 90.00
With the nearest neighbours (Å) after each atom.
Fractional coordinates of all 20 atoms:
Ce (0.7500, 0.6210, 0.8744)  8 O 2.43-2.58
Ce (0.2500, 0.3790, 0.1256)  8 O 2.43-2.58
Nb (0.7500, 0.3787, 0.4798)  6 O 2.13-2.32
Nb (0.2500, 0.6213, 0.5202)  6 O 2.13-2.32
Nb (0.7500, 0.7624, 0.2599)  3 O 1.90-2.06
Nb (0.2500, 0.2376, 0.7401)  3 O 1.90-2.06
Nb (0.7500, 0.9528, 0.8702)  6 O 2.18-2.22
Nb (0.2500, 0.0472, 0.1298)  6 O 2.18-2.22
O (0.7500, 0.2148, 0.5843)  3 Nb 2.06-2.13
O (0.2500, 0.7852, 0.4157)  3 Nb 2.06-2.13
O (0.7500, 0.1704, 0.0609)  3 Nb 2.18-2.21
O (0.2500, 0.8296, 0.9391)  3 Nb 2.18-2.21
O (0.7500, 0.7392, 0.6795)  3 Nb 2.15-2.18
O (0.2500, 0.2608, 0.3205)  3 Nb 2.15-2.18
O (0.7500, 0.5294, 0.3311)  3 Nb 2.25-2.32, 2 Ce 2.47
O (0.2500, 0.4706, 0.6689)  3 Nb 2.25-2.32, 2 Ce 2.47
O (0.7500, 0.3638, 0.8957)  2 Nb 2.16
O (0.2500, 0.6362, 0.1043)  2 Nb 2.16
O (0.7500, 0.9473, 0.2345)  1 Nb 1.90
O (0.2500, 0.0527, 0.7655)  1 Nb 1.90

Values from the calculation:
* magnetic moment: 0.073 μB per atom
* uncorrected energy: -9.00 eV/atom
* density of states at the Fermi level: 0.42 states/eV/atom
* formation energy (no corrections): -2.41 eV per atom